The following is a PBE calculation of CaScCr2 after structural relaxation, from the Alexandria database.

For the relative energy among the computed polymorphs, the calculation gives 389.0 meV/atom. The value obtained for the formation energy is 0.72 eV/atom.

It has space group I-4m2 (No. 119), with a = 4.285 Å, b = 4.285 Å, c = 9.823 Å, α = 90.00°, β = 90.00° and γ = 90.00°. Symmetry generates all atoms from Ca at (0.000, 0.000, 0.000), Sc at (0.000, 0.500, 0.250), Cr at (0.000, 0.000, 0.500) and Cr at (0.000, 0.500, 0.750).

=====

The following is a PBE calculation of Ca3ScCr after structural relaxation, from the Alexandria database.

For the relative energy among the computed polymorphs, the calculation gives 510.1 meV/atom. The value obtained for the formation energy is 1.23 eV/atom.

It has space group Pm-3m (No. 221), with a = 5.880 Å, b = 5.880 Å, c = 5.880 Å, α = 90.00°, β = 90.00° and γ = 90.00°. Symmetry generates all atoms from Ca at (0.000, 0.000, 0.500), Sc at (0.000, 0.000, 0.000) and Cr at (0.500, 0.500, 0.500).

=====

The following is a PBE calculation of CaScCr2 after structural relaxation, from the Alexandria database.

For the relative energy among the computed polymorphs, the calculation gives 814.0 meV/atom. The value obtained for the formation energy is 1.15 eV/atom.

It has space group I-42d (No. 122), with a = 4.336 Å, b = 4.336 Å, c = 19.175 Å, α = 90.00°, β = 90.00° and γ = 90.00°. Symmetry generates all atoms from Ca at (0.000, 0.000, 0.000), Sc at (0.000, 0.000, 0.500) and Cr at (0.110, 0.250, 0.625).

=====

The following is a PBE calculation of CaScCr2 after structural relaxation, from the Alexandria database.

For the relative energy among the computed polymorphs, the calculation gives 120.3 meV/atom. The value obtained for the formation energy is 0.46 eV/atom.

It has space group Imm2 (No. 44), with a = 3.344 Å, b = 5.039 Å, c = 9.725 Å, α = 90.00°, β = 90.00° and γ = 90.00°. Symmetry generates all atoms from Ca at (0.000, 0.000, 0.000), Sc at (0.000, 0.500, 0.208), Cr at (0.000, 0.000, 0.437) and Cr at (0.000, 0.500, 0.774).

=====

Number 1: magnetic moment 16.2 μB/cell, raw total energy -24.7 eV per formula unit. Number 2: magnetic moment 5.7 μB/cell, raw total energy -15.8 eV per formula unit. Number 3: magnetic moment 13.4 μB/cell, raw total energy -23.0 eV per formula unit. Number 4: magnetic moment 0.6 μB/cell, raw total energy -25.8 eV per formula unit.